Compound: TlFeGeS2
Source: Alexandria
Functional: PBE
Structure: optimized geometry

```
data_TlFeGeS2
_chemical_formula_sum 'Tl1 Fe1 Ge1 S2'
_space_group_name_H-M_alt 'P 4/m m m'
_space_group_IT_number 123
_space_group_name_Hall '-P 4 2'
_cell_length_a 5.1530
_cell_length_b 5.1530
_cell_length_c 5.2467
_cell_angle_alpha 90.00
_cell_angle_beta 90.00
_cell_angle_gamma 90.00
loop_
_atom_site_label
_atom_site_type_symbol
_atom_site_fract_x
_atom_site_fract_y
_atom_site_fract_z
Tl1 Tl 0.0000 0.0000 0.0000
Fe1 Fe 0.5000 0.5000 0.5000
Ge1 Ge 0.0000 0.0000 0.5000
S1 S 0.0000 0.5000 0.0000
```

## Properties
E_form (uncorrected): 1.306 eV/atom
Total moment: 3.58 μB/cell
Crystal system: tetragonal